# 1
A plane-wave DFT calculation with GGA-PBE was carried out for an optimized crystal structure of CaAcPrTm.

```
4
Lattice="-3.387 4.915 -0.060 -5.539 -0.219 -2.215 -4.697 0.433 3.659" Properties=species:S:1:pos:R:3 pbc="T T T"
Pr -6.811 2.564 0.692
Ac 0.000 0.000 0.000
Tm -10.217 3.847 1.038
Ca -3.406 1.282 0.346
```

Summary:
- V: 37.6 A^3/atom
- Mass density: 6.370 g/cm3
- Energy of formation from the pure elements: 0.097 eV per atom



# 2
A plane-wave DFT calculation with GGA-PBE was carried out for an optimized crystal structure of CaAcPrY.

```
4
Lattice="-1.779 -2.323 2.440 2.671 -2.654 -0.579 5.759 4.039 8.044" Properties=species:S:1:pos:R:3 pbc="T T T"
Ca 5.486 1.550 9.318
Ac 6.099 0.256 5.562
Pr 2.425 -0.595 5.046
Y 3.378 -1.654 1.758
```

Summary:
- V: 38.8 A^3/atom
- Energy above the lowest structure with this stoichiometry: 0.0 kJ/mol of atoms
- Mass density: 5.320 g/cm3
- Energy of formation from the pure elements: 0.055 eV per atom



# 3
A plane-wave DFT calculation with GGA-PBE was carried out for an optimized crystal structure of CaAcPr6Y2.

```
20
Lattice="-5.907 -7.458 -3.413 7.266 -2.768 -4.847 -0.625 -2.729 8.724" Properties=species:S:1:pos:R:3 pbc="T T T"
Ca 1.087 -4.609 2.386
Ca -0.354 -8.346 -1.922
Ac 5.544 -4.631 -5.280
Ac -4.811 -8.323 5.744
Pr 0.027 -2.778 5.892
Pr -1.440 -6.422 5.049
Pr 0.706 -10.176 -5.428
Pr 2.173 -6.533 -4.586
Pr 4.899 -6.332 -1.992
Pr 3.010 -2.914 -3.100
Pr -4.166 -6.622 2.456
Pr -2.277 -10.040 3.564
Pr 4.133 -4.200 0.415
Pr 1.292 -5.034 -1.234
Pr -3.400 -8.754 0.049
Pr -0.559 -7.921 1.698
Y 2.668 -7.486 0.658
Y 1.814 -1.744 0.145
Y -1.935 -5.469 -0.194
Y -1.081 -11.211 0.319
```

Summary:
- V: 37.2 A^3/atom
- Mass density: 5.756 g/cm3
- Energy of formation from the pure elements: 0.129 eV per atom



# 4
A plane-wave DFT calculation with GGA-PBE was carried out for an optimized crystal structure of CaAc5Pr2Y.

```
18
Lattice="-4.970 -0.219 3.266 6.459 -8.905 3.808 4.752 6.731 7.681" Properties=species:S:1:pos:R:3 pbc="T T T"
Ca -1.666 -1.836 2.763
Ca 5.602 -3.822 8.267
Ac 2.991 -6.638 4.105
Ac 3.144 1.443 10.301
Ac 7.574 -3.910 11.261
Ac 5.557 -0.368 8.431
Ac 3.877 -5.643 10.941
Ac 0.954 0.992 6.939
Ac 3.742 -2.922 5.497
Ac -1.258 1.623 3.616
Ac 0.199 -2.713 5.541
Ac 0.066 -0.006 0.100
Pr 4.260 -1.832 11.780
Pr 4.437 2.910 6.946
Pr 2.223 -0.219 3.367
Pr 1.719 -5.424 7.672
Y 2.337 -2.146 8.833
Y 1.608 -3.500 2.211
```

Summary:
- V: 41.9 A^3/atom
- Mass density: 6.805 g/cm3
- Energy of formation from the pure elements: 0.151 eV per atom



# 5
A plane-wave DFT calculation with GGA-PBE was carried out for an optimized crystal structure of CaAcPrY.

```
4
Lattice="6.006 0.000 0.000 3.003 5.202 0.000 3.003 1.734 4.904" Properties=species:S:1:pos:R:3 pbc="T T T"
Pr 3.003 1.734 1.226
Y 9.009 5.202 3.678
Ac 6.006 3.468 2.452
Ca 0.000 0.000 0.000
```

Summary:
- V: 38.3 A^3/atom
- Energy above the lowest structure with this stoichiometry: 8.4 kJ/mol of atoms
- Mass density: 5.385 g/cm3
- Energy of formation from the pure elements: 0.142 eV per atom



# 6
A plane-wave DFT calculation with GGA-PBE was carried out for an optimized crystal structure of Ca3Ac2Pt4.

```
18
Lattice="-2.424 -7.118 -1.912 2.491 -0.039 7.598 -7.344 1.851 2.417" Properties=species:S:1:pos:R:3 pbc="T T T"
Ca -2.426 0.906 5.008
Ca 0.034 -3.578 2.843
Ca -7.240 -3.781 2.485
Ca -2.358 -4.804 5.028
Ca -0.036 -1.524 5.619
Ca -4.919 -0.502 3.076
Ac -3.250 -3.456 1.159
Ac -6.277 -5.147 6.331
Ac -4.026 -1.850 6.945
Ac -0.999 -0.159 1.773
Pt -5.759 -5.072 0.242
Pt 0.504 -4.608 5.841
Pt -1.518 -0.233 7.861
Pt -7.781 -0.698 2.263
Pt -1.856 -5.977 2.312
Pt -4.855 -3.336 4.251
Pt -5.420 0.672 5.792
Pt -2.421 -1.970 3.853
```

Summary:
- V: 25.9 A^3/atom
- Mass density: 9.651 g/cm3
- Energy of formation from the pure elements: -1.020 eV per atom



# 7
A plane-wave DFT calculation with GGA-PBE was carried out for an optimized crystal structure of Ca5AcPt6.

```
12
Lattice="4.753 -0.028 1.584 0.038 7.146 0.013 0.005 -0.014 7.908" Properties=species:S:1:pos:R:3 pbc="T T T"
Ca 3.192 3.545 6.331
Ca 1.562 -0.014 3.235
Ca 0.019 3.573 0.006
Ca 3.196 -0.028 6.256
Ca 1.604 3.559 3.173
Ac 0.000 0.000 0.000
Pt 3.986 5.296 3.980
Pt 3.967 1.794 3.974
Pt 2.386 1.822 0.795
Pt 2.405 5.296 0.801
Pt 0.829 5.310 5.530
Pt 0.810 1.808 5.524
```

Summary:
- V: 22.4 A^3/atom
- Mass density: 9.881 g/cm3
- Energy of formation from the pure elements: -0.922 eV per atom



# 8
A plane-wave DFT calculation with GGA-PBE was carried out for an optimized crystal structure of Ca2Ac5Pt4.

```
11
Lattice="4.162 0.000 -0.892 -0.842 9.784 -3.928 -0.198 -1.426 9.234" Properties=species:S:1:pos:R:3 pbc="T T T"
Ca 1.673 6.689 -2.352
Ca 1.450 1.669 6.766
Ac 2.884 0.881 3.300
Ac 0.239 7.476 1.115
Ac 2.884 5.171 3.300
Ac 2.081 0.000 -0.446
Ac 0.239 3.187 1.115
Pt 0.901 3.120 4.203
Pt 3.503 -0.511 6.189
Pt 2.222 5.238 0.212
Pt -0.380 8.868 -1.774
```

Summary:
- V: 31.8 A^3/atom
- Mass density: 9.469 g/cm3
- Energy of formation from the pure elements: -0.877 eV per atom